(P)
Here is crystalline MgMo3Cl at its relaxed geometry from Alexandria. Energies are from PBE.

Geometry as POSCAR:
```
MgMo3Cl
1.0
4.725 0.000 0.000
0.000 4.725 0.000
0.000 0.000 4.725
Mo Cl Mg
3 1 1
Cartesian
0.000 2.363 0.000 Mo
2.363 0.000 0.000 Mo
0.000 0.000 2.363 Mo
2.363 2.363 2.363 Cl
0.000 0.000 0.000 Mg
```

---

(Q)
Here is crystalline MgMo3Cl at its relaxed geometry from Alexandria. Energies are from PBE.

Geometry as POSCAR:
```
MgMo3Cl
1.0
4.446 0.000 0.000
0.000 4.446 0.000
0.000 0.000 4.446
Mo Mg Cl
3 1 1
Cartesian
2.223 0.000 0.000 Mo
0.000 0.000 2.223 Mo
0.000 2.223 0.000 Mo
2.223 2.223 2.223 Mg
0.000 0.000 0.000 Cl
```

---

Which one sits at the top of the stability order? (Q) does.

---

(P)
Here is crystalline MgMoCl2 at its relaxed geometry from Alexandria. Energies are from PBE.

Geometry as POSCAR:
```
MgMoCl2
1.0
7.071 0.000 0.000
0.000 7.071 0.000
3.535 3.535 5.081
Mo Mg Cl
2 2 4
Cartesian
0.000 0.000 0.000 Mo
7.071 3.535 2.541 Mo
3.535 3.535 0.000 Mg
3.535 7.071 2.541 Mg
5.303 6.096 3.811 Cl
2.560 5.303 1.270 Cl
8.839 8.046 3.811 Cl
4.511 1.768 1.270 Cl
```

---

(Q)
Here is crystalline MgMoCl2 at its relaxed geometry from Alexandria. Energies are from PBE.

Geometry as POSCAR:
```
MgMoCl2
1.0
-1.410 1.826 -4.383
-4.724 1.290 -0.742
-1.226 4.781 -0.412
Cl Mo Mg
2 1 1
Cartesian
0.000 0.000 0.000 Cl
-1.840 1.975 -1.384 Cl
-5.520 5.924 -4.153 Mo
-3.680 3.949 -2.769 Mg
```

---

Which one sits at the top of the stability order? (P) does.

---

(P)
Here is crystalline MgMoCl2 at its relaxed geometry from Alexandria. Energies are from PBE.

Geometry as POSCAR:
```
MgMoCl2
1.0
4.617 0.000 0.000
0.000 4.617 0.000
0.000 0.000 3.877
Mo Cl Mg
1 2 1
Cartesian
0.000 2.308 1.939 Mo
2.308 2.308 0.000 Cl
0.000 0.000 0.000 Cl
2.308 0.000 1.939 Mg
```

---

(Q)
Here is crystalline MgMoCl2 at its relaxed geometry from Alexandria. Energies are from PBE.

Geometry as POSCAR:
```
MgMoCl2
1.0
3.233 0.000 0.000
0.000 3.503 -0.015
0.000 1.785 7.700
Cl Mo Mg
2 1 1
Cartesian
1.617 1.109 2.745 Cl
0.000 4.629 7.174 Cl
1.617 4.620 5.389 Mo
0.000 2.861 3.905 Mg
```

---

Which one sits at the top of the stability order? (Q) does.

---

(P)
Here is crystalline MgMoCl2 at its relaxed geometry from Alexandria. Energies are from PBE.

Geometry as POSCAR:
```
MgMoCl2
1.0
-0.309 1.295 2.985
-1.266 -2.871 -0.916
8.068 -4.439 2.763
Mo Cl Mg
1 2 1
Cartesian
5.263 -4.117 3.107 Mo
7.682 -4.227 2.631 Cl
4.419 -2.432 1.513 Cl
1.229 -1.898 1.725 Mg
```

---

(Q)
Here is crystalline MgMoCl2 at its relaxed geometry from Alexandria. Energies are from PBE.

Geometry as POSCAR:
```
MgMoCl2
1.0
-10.081 -1.316 -0.520
-9.589 -2.447 2.388
-9.971 0.657 1.943
Mo Cl Mg
1 2 1
Cartesian
-22.231 -2.330 2.858 Mo
-0.771 -0.081 0.099 Cl
-14.050 -1.472 1.806 Cl
-7.410 -0.777 0.953 Mg
```

---

(R)
Here is crystalline MgMoCl2 at its relaxed geometry from Alexandria. Energies are from PBE.

Geometry as POSCAR:
```
MgMoCl2
1.0
-0.692 0.460 6.400
-1.151 -4.431 4.548
3.503 1.628 -5.169
Mo Mg Cl
1 1 2
Cartesian
0.945 0.051 3.352 Mo
-0.921 -1.986 5.474 Mg
0.716 -2.394 2.426 Cl
0.000 0.000 0.000 Cl
```

---

(S)
Here is crystalline MgMoCl2 at its relaxed geometry from Alexandria. Energies are from PBE.

Geometry as POSCAR:
```
MgMoCl2
1.0
1.830 0.000 9.565
-0.915 1.584 9.565
-0.915 -1.584 9.565
Mg Cl Mo
1 2 1
Cartesian
0.000 0.000 0.000 Mg
0.000 0.000 25.626 Cl
0.000 0.000 3.069 Cl
0.000 0.000 14.348 Mo
```

---

Which one sits at the top of the stability order? (S) does.

---

(P)
Here is crystalline MgMoCl2 at its relaxed geometry from Alexandria. Energies are from PBE.

Geometry as POSCAR:
```
MgMoCl2
1.0
-8.540 3.955 0.471
-9.418 -0.292 -0.062
8.984 -2.052 1.969
Mo Cl Mg
1 2 1
Cartesian
-5.731 -0.047 1.079 Mo
-0.302 0.062 0.007 Cl
-4.016 1.816 1.316 Cl
-7.904 1.612 0.180 Mg
```

---

(Q)
Here is crystalline MgMoCl2 at its relaxed geometry from Alexandria. Energies are from PBE.

Geometry as POSCAR:
```
MgMoCl2
1.0
-3.934 6.513 -0.248
-6.627 2.397 2.882
7.116 -2.703 0.118
Mg Cl Mo
1 2 1
Cartesian
-1.049 4.133 0.593 Mg
-4.112 3.470 1.025 Cl
-1.168 0.985 0.291 Cl
-2.395 2.074 2.158 Mo
```

---

(R)
Here is crystalline MgMoCl2 at its relaxed geometry from Alexandria. Energies are from PBE.

Geometry as POSCAR:
```
MgMoCl2
1.0
3.068 0.016 0.000
-0.016 3.068 0.000
0.000 0.000 8.646
Cl Mg Mo
2 1 1
Cartesian
1.526 1.542 2.873 Cl
0.000 0.000 7.871 Cl
0.000 0.000 4.327 Mg
1.526 1.542 6.545 Mo
```

---

(S)
Here is crystalline MgMoCl2 at its relaxed geometry from Alexandria. Energies are from PBE.

Geometry as POSCAR:
```
MgMoCl2
1.0
-3.464 2.786 3.006
-1.528 -2.632 -4.579
-1.707 -2.054 2.050
Mg Cl Mo
1 2 1
Cartesian
-2.496 0.077 -0.787 Mg
0.000 0.000 0.000 Cl
-1.617 -2.343 -1.265 Cl
-2.585 0.366 2.528 Mo
```

---

Which one sits at the top of the stability order? (R) does.

---

(P)
Here is crystalline MgMoCl2 at its relaxed geometry from Alexandria. Energies are from PBE.

Geometry as POSCAR:
```
MgMoCl2
1.0
-4.381 5.500 2.814
-2.952 4.509 5.321
0.952 6.792 2.141
Mg Cl Mo
1 2 1
Cartesian
-3.767 8.880 5.656 Mg
-6.450 9.806 7.551 Cl
-4.438 13.334 7.799 Cl
-2.251 3.190 2.544 Mo
```

---

(Q)
Here is crystalline MgMoCl2 at its relaxed geometry from Alexandria. Energies are from PBE.

Geometry as POSCAR:
```
MgMoCl2
1.0
3.088 0.000 0.000
0.000 5.921 0.000
0.000 0.000 4.252
Mo Cl Mg
1 2 1
Cartesian
0.000 2.960 2.126 Mo
1.544 2.960 0.000 Cl
0.000 0.000 0.000 Cl
1.544 0.000 2.126 Mg
```

---

(R)
Here is crystalline MgMoCl2 at its relaxed geometry from Alexandria. Energies are from PBE.

Geometry as POSCAR:
```
MgMoCl2
1.0
0.000 3.241 3.241
3.241 0.000 3.241
3.241 3.241 0.000
Mg Cl Mo
1 2 1
Cartesian
0.000 0.000 0.000 Mg
1.621 1.621 1.621 Cl
4.862 4.862 4.862 Cl
3.241 3.241 3.241 Mo
```

---

Which one sits at the top of the stability order? (P) does.